1.
{"formula": "Li2BiAs", "functional": "PBE", "state": "relaxed", "lattice": [[-0.3718, 1.0650, 4.0529], [-4.3114, -0.8063, -0.1836], [0.7303, -4.1697, 1.1627]], "species": ["As", "Bi", "Li", "Li"], "fractional_positions": [[0.5000, 0.0000, 0.0000], [0.5000, 0.5000, 0.5000], [0.0000, 0.0000, 0.5000], [0.0000, 0.5000, 0.0000]], "dft_energy_ev_per_atom": -3.4785, "magnetic_moment_mub_per_fu": 0.0, "volume_a3_per_cell": 81}

***

2.
{"formula": "AlVGa2Pd", "functional": "PBE", "state": "relaxed", "lattice": [[4.6533, 0.0000, 0.0000], [0.0000, 4.9050, 0.0000], [0.0000, 0.0000, 4.6533]], "species": ["Al", "Ga", "Ga", "Pd", "V"], "fractional_positions": [[0.5000, 0.5000, 0.5000], [0.0000, 0.0000, 0.5000], [0.5000, 0.0000, 0.0000], [0.0000, 0.0000, 0.0000], [0.0000, 0.5000, 0.0000]], "dft_energy_ev_per_atom": -4.2454, "magnetic_moment_mub_per_fu": 0.1, "volume_a3_per_cell": 106}

***

3.
{"formula": "Dy4Zn3Pd", "functional": "PBE", "state": "relaxed", "lattice": [[3.6919, 0.0000, 0.0000], [0.0000, 4.5545, 0.0000], [0.0000, 0.0000, 11.0038]], "species": ["Dy", "Dy", "Dy", "Dy", "Zn", "Zn", "Zn", "Pd"], "fractional_positions": [[0.5000, 0.5000, 0.3458], [0.0000, 0.5000, 0.8609], [0.0000, 0.0000, 0.1427], [0.5000, 0.0000, 0.6515], [0.0000, 0.5000, 0.5721], [0.0000, 0.0000, 0.4264], [0.5000, 0.0000, 0.9257], [0.5000, 0.5000, 0.0749]], "dft_energy_ev_per_atom": -3.8751, "magnetic_moment_mub_per_fu": 0.0, "volume_a3_per_cell": 185}